Entry 1:
Compound: WBrCl
Source: Alexandria
Functional: PBE-GGA
Structure: optimized geometry

Output
E above lowest polymorph, meV/atom: 1018.3
SG: No. 216
Raw total energy, eV/atom: -4.870

a = 4.3353 Å, b = 4.3353 Å, c = 4.3353 Å
α = 60.00°, β = 60.00°, γ = 60.00°
With the nearest neighbours (Å) after each atom.
Positions (direct):
Br 0.0000 0.0000 0.0000  4 W 2.65
W 0.2500 0.2500 0.2500  4 Cl 2.65, 4 Br 2.65
Cl 0.5000 0.5000 0.5000  4 W 2.65

---

Entry 2:
Compound: YBrCl2
Source: Alexandria
Functional: PBE-GGA
Structure: optimized geometry

Output
E above lowest polymorph, meV/atom: 801.9
SG: No. 123
Raw total energy, eV/atom: -4.283

a = 4.5471 Å, b = 4.4896 Å, c = 4.4896 Å
α = 90.00°, β = 90.00°, γ = 90.00°
With the nearest neighbours (Å) after each atom.
Positions (direct):
Y 0.5000 0.5000 0.0000  4 Br 3.17, 8 Cl 3.20
Br 0.5000 0.0000 0.5000  4 Y 3.17, 8 Cl 3.20
Cl 0.0000 0.0000 0.0000  4 Cl 3.17, 4 Br 3.20, 4 Y 3.20
Cl 0.0000 0.5000 0.5000  4 Cl 3.17, 4 Br 3.20, 4 Y 3.20

---

Entry 3:
Compound: Y3BrCl
Source: Alexandria
Functional: PBE-GGA
Structure: optimized geometry

Output
E above lowest polymorph, meV/atom: 0.0
SG: No. 221
Raw total energy, eV/atom: -4.808

a = 5.2443 Å, b = 5.2443 Å, c = 5.2443 Å
α = 90.00°, β = 90.00°, γ = 90.00°
With the nearest neighbours (Å) after each atom.
Positions (direct):
Y 0.0000 0.5000 0.0000  2 Cl 2.62
Y 0.0000 0.0000 0.5000  2 Cl 2.62
Y 0.5000 0.0000 0.0000  2 Cl 2.62
Br 0.5000 0.5000 0.5000  12 Y 3.71
Cl 0.0000 0.0000 0.0000  6 Y 2.62

---

Entry 4:
Compound: YBrCl2
Source: Alexandria
Functional: PBE-GGA
Structure: optimized geometry

Output
E above lowest polymorph, meV/atom: 596.0
SG: No. 119
Raw total energy, eV/atom: -4.489

a = 5.2395 Å, b = 5.2395 Å, c = 5.2395 Å
α = 126.81°, β = 126.81°, γ = 78.56°
With the nearest neighbours (Å) after each atom.
Positions (direct):
Y 0.5000 0.5000 0.0000  8 Cl 3.10-3.32, 4 Br 3.10
Br 0.7500 0.2500 0.5000  4 Y 3.10, 8 Cl 3.10-3.32
Cl 0.0000 0.0000 0.0000  4 Cl 3.10, 4 Br 3.10, 4 Y 3.32
Cl 0.2500 0.7500 0.5000  4 Cl 3.10, 4 Y 3.10, 4 Br 3.32

---

Entry 5:
Compound: YBr2Cl
Source: Alexandria
Functional: PBE-GGA
Structure: optimized geometry

Output
E above lowest polymorph, meV/atom: 713.3
SG: No. 123
Raw total energy, eV/atom: -4.192

a = 3.8259 Å, b = 3.8268 Å, c = 6.5877 Å
α = 90.00°, β = 90.00°, γ = 90.00°
With the nearest neighbours (Å) after each atom.
Positions (direct):
Y 0.5000 0.5000 0.7500  8 Br 3.11, 2 Cl 3.29
Br 0.0000 0.0000 0.9835  1 Br 3.08, 4 Y 3.11, 4 Cl 3.23
Br 0.0000 0.0000 0.5165  1 Br 3.08, 4 Y 3.11, 4 Cl 3.23
Cl 0.5000 0.5000 0.2500  8 Br 3.23, 2 Y 3.29

---

Entry 6:
Compound: YBrCl2
Source: Alexandria
Functional: PBE-GGA
Structure: optimized geometry

Output
E above lowest polymorph, meV/atom: 577.6
SG: No. 99
Raw total energy, eV/atom: -4.508

a = 3.8219 Å, b = 3.8219 Å, c = 7.7492 Å
α = 90.00°, β = 90.00°, γ = 90.00°
With the nearest neighbours (Å) after each atom.
Positions (direct):
Y 0.0000 0.0000 0.4240  1 Cl 2.49
Br 0.5000 0.5000 0.6829  1 Cl 3.04, 4 Y 3.37
Cl 0.0000 0.0000 0.1023  1 Y 2.49
Cl 0.5000 0.5000 0.2907  4 Y 2.89, 1 Br 3.04, 4 Cl 3.07

---

Entry 7:
Compound: YBr2Cl
Source: Alexandria
Functional: PBE-GGA
Structure: optimized geometry

Output
E above lowest polymorph, meV/atom: 828.5
SG: No. 123
Raw total energy, eV/atom: -4.077

a = 7.9929 Å, b = 4.6530 Å, c = 4.5377 Å
α = 90.00°, β = 55.41°, γ = 125.60°
With the nearest neighbours (Å) after each atom.
Positions (direct):
Y 0.5000 0.5000 0.0000  8 Br 3.25, 4 Cl 3.29
Br 0.0000 0.0000 0.0000  4 Y 3.25, 4 Cl 3.25, 4 Br 3.29
Br 0.5000 0.0000 0.5000  4 Cl 3.25, 4 Y 3.25, 4 Br 3.29
Cl 0.0000 0.5000 0.5000  8 Br 3.25, 4 Y 3.29

---

Entry 8:
Compound: YBrCl2
Source: Alexandria
Functional: PBE-GGA
Structure: optimized geometry

Output
E above lowest polymorph, meV/atom: 327.2
SG: No. 160
Raw total energy, eV/atom: -4.758

a = 7.3305 Å, b = 7.3305 Å, c = 7.3305 Å
α = 36.22°, β = 36.22°, γ = 36.22°
With the nearest neighbours (Å) after each atom.
Positions (direct):
Y 0.5437 0.5437 0.5437  3 Cl 2.63
Br 0.7858 0.7858 0.7858  3 Y 3.23, 4 Cl 3.26-3.52
Cl 0.9574 0.9574 0.9574  3 Cl 3.08, 3 Y 3.11
Cl 0.2131 0.2131 0.2131  3 Y 2.63

---

Entry 9:
Compound: YBr2Cl
Source: Alexandria
Functional: PBE-GGA
Structure: optimized geometry

Output
E above lowest polymorph, meV/atom: 235.2
SG: No. 44
Raw total energy, eV/atom: -4.670

a = 7.7644 Å, b = 7.7644 Å, c = 7.7644 Å
α = 152.55°, β = 139.10°, γ = 49.96°
With the nearest neighbours (Å) after each atom.
Positions (direct):
Y 0.2534 0.7534 0.5000  2 Cl 2.67, 2 Br 2.83
Br 0.1012 0.1012 0.0000  2 Y 2.83
Br 0.7547 0.2547 0.5000  4 Y 3.28, 2 Cl 3.32, 2 Br 3.47
Cl 0.3907 0.3907 0.0000  2 Y 2.67

---

Entry 10:
Compound: YBr2Cl
Source: Alexandria
Functional: PBE-GGA
Structure: optimized geometry

Output
E above lowest polymorph, meV/atom: 20.1
SG: No. 38
Raw total energy, eV/atom: -4.885

a = 4.0501 Å, b = 7.5054 Å, c = 7.5028 Å
α = 43.95°, β = 90.00°, γ = 90.00°
With the nearest neighbours (Å) after each atom.
Positions (direct):
Y 0.5000 0.7476 0.7470  2 Cl 2.66, 4 Br 2.81-2.82
Br 0.0000 0.8880 0.8889  2 Y 2.82
Br 0.5000 0.2415 0.2411  2 Y 2.81
Cl 0.0000 0.6229 0.6230  2 Y 2.66

---

Entry 11:
Compound: YBrCl2
Source: Alexandria
Functional: PBE-GGA
Structure: optimized geometry

Output
E above lowest polymorph, meV/atom: 468.5
SG: No. 166
Raw total energy, eV/atom: -4.617

a = 6.3803 Å, b = 6.3803 Å, c = 6.3803 Å
α = 42.14°, β = 42.14°, γ = 42.14°
With the nearest neighbours (Å) after each atom.
Positions (direct):
Y 0.2500 0.2500 0.2500  6 Cl 2.78
Br 0.7500 0.7500 0.7500  8 Cl 3.36-3.74
Cl 0.9649 0.9649 0.9649  3 Y 2.78
Cl 0.5351 0.5351 0.5351  3 Y 2.78

---

Entry 12:
Compound: YBrCl2
Source: Alexandria
Functional: PBE-GGA
Structure: optimized geometry

Output
E above lowest polymorph, meV/atom: 648.5
SG: No. 122
Raw total energy, eV/atom: -4.437

a = 5.6630 Å, b = 5.6630 Å, c = 9.2214 Å
α = 72.12°, β = 72.12°, γ = 90.00°
With the nearest neighbours (Å) after each atom.
Positions (direct):
Y 0.0000 0.0000 0.0000  4 Cl 2.60
Y 0.7500 0.2500 0.5000  4 Cl 2.60
Br 0.5000 0.5000 0.0000  4 Cl 3.32
Br 0.2500 0.7500 0.5000  4 Cl 3.32
Cl 0.7585 0.1250 0.2500  2 Y 2.60
Cl 0.9915 0.6250 0.2500  2 Y 2.60
Cl 0.3750 0.2415 0.7500  2 Y 2.60
Cl 0.8750 0.0085 0.7500  2 Y 2.60

---

Entry 13:
Compound: YBrCl2
Source: Alexandria
Functional: PBE-GGA
Structure: optimized geometry

Output
E above lowest polymorph, meV/atom: 6.9
SG: No. 38
Raw total energy, eV/atom: -5.078

a = 4.0470 Å, b = 7.5818 Å, c = 7.5812 Å
α = 40.95°, β = 90.00°, γ = 90.00°
With the nearest neighbours (Å) after each atom.
Positions (direct):
Y 0.0000 0.4970 0.4970  4 Cl 2.65-2.67, 2 Br 2.82
Br 0.5000 0.6356 0.6355  2 Y 2.82
Cl 0.0000 0.9925 0.9925  2 Y 2.65
Cl 0.5000 0.3749 0.3749  2 Y 2.67

---

Entry 14:
Compound: YBr2Cl
Source: Alexandria
Functional: PBE-GGA
Structure: optimized geometry

Output
E above lowest polymorph, meV/atom: 1645.6
SG: No. 166
Raw total energy, eV/atom: -3.260

a = 11.5068 Å, b = 11.5068 Å, c = 11.5068 Å
α = 21.42°, β = 21.42°, γ = 21.42°
With the nearest neighbours (Å) after each atom.
Positions (direct):
Y 0.0000 0.0000 0.0000  2 Br 2.57
Br 0.9239 0.9239 0.9239  1 Y 2.57
Br 0.0761 0.0761 0.0761  1 Y 2.57
Cl 0.5000 0.5000 0.5000  6 Br 3.93, 6 Cl 4.28

---

Number 1: ΔE_f (raw) 0.621 eV/atom. Number 2: ΔE_f (raw) -1.326 eV/atom. Number 3: ΔE_f (raw) -0.225 eV/atom. Number 4: ΔE_f (raw) -1.532 eV/atom. Number 5: ΔE_f (raw) -1.278 eV/atom. Number 6: ΔE_f (raw) -1.550 eV/atom. Number 7: ΔE_f (raw) -1.163 eV/atom. Number 8: ΔE_f (raw) -1.800 eV/atom. Number 9: ΔE_f (raw) -1.756 eV/atom. Number 10: ΔE_f (raw) -1.971 eV/atom. Number 11: ΔE_f (raw) -1.659 eV/atom. Number 12: ΔE_f (raw) -1.479 eV/atom. Number 13: ΔE_f (raw) -2.121 eV/atom. Number 14: ΔE_f (raw) -0.346 eV/atom.